VASP calculation (PBE-GGA) on NaCaN2O after structural relaxation.

The uncorrected formation energy is 826 meV/atom. Its volume is 77.09 Å³/cell. For the density, the calculation gives 2.306 Mg/m³. Its symmetry is P4/mmm (123). As for the size of the total moment: 5.00 μB/f.u.

The structure in extended XYZ format:
```
5
Lattice="4.2783 0.0000 0.0000 0.0000 4.2783 0.0000 0.0000 0.0000 4.2120" Properties=species:S:1:pos:R:3 pbc="T T T"
Na 0.0000 0.0000 0.0000
Ca 2.1391 2.1391 2.1060
N 0.0000 2.1391 0.0000
N 2.1391 0.0000 0.0000
O 0.0000 0.0000 2.1060
```

=====

VASP calculation (PBE-GGA) on Nd6Sm3Dy2 after structural relaxation.

Its volume is 375.02 Å³/cell. For the density, the calculation gives 7.269 Mg/m³. Its symmetry is R-3m (166). As for the size of the total moment: 0.00 μB/f.u. The value obtained for the formation energy is 12 meV per atom.

The structure in extended XYZ format:
```
11
Lattice="1.8204 1.0510 32.6678 -1.8204 1.0510 32.6678 0.0000 -2.1020 32.6678" Properties=species:S:1:pos:R:3 pbc="T T T"
Nd 0.0000 0.0000 8.9639
Nd 0.0000 0.0000 17.8535
Nd 0.0000 0.0000 35.6555
Nd 0.0000 0.0000 62.3479
Nd 0.0000 0.0000 80.1499
Nd 0.0000 0.0000 89.0395
Sm 0.0000 0.0000 0.0000
Sm 0.0000 0.0000 26.6994
Sm 0.0000 0.0000 71.3041
Dy 0.0000 0.0000 44.5551
Dy 0.0000 0.0000 53.4483
```